Run i
VASP calculation (SCAN) on a PBEsol-optimized structure of LiNi2O4.

Cell lengths 5.659, 5.658, 5.660 Å; angles 119.95, 90.09, 119.95 degrees
Site moments in Bohr magnetons follow the coordinates.
Fractional coordinates of all 14 atoms:
O  0.708  0.971  0.736  -0.04
O  0.736  0.472  0.708  -0.04
O  0.264  0.528  0.292  -0.04
O  0.264  0.528  0.736  -0.04
O  0.736  0.472  0.264  -0.04
O  0.292  0.029  0.264  -0.04
O  0.264  0.972  0.736  -0.04
O  0.736  0.028  0.264  -0.04
Ni  0.500  0.500  0.500  0.57
Ni  0.500  0.000  0.500  0.57
Ni  0.500  0.000  0.000  0.57
Ni  0.000  0.500  0.500  0.57
Li  0.875  0.750  0.125  0.01
Li  0.125  0.250  0.875  0.01

Run ii
VASP calculation (SCAN) on a PBEsol-optimized structure of LiNi2O4.

Cell lengths 5.601, 5.601, 9.097 Å; angles 90.00, 90.00, 120.00 degrees
Site moments in Bohr magnetons follow the coordinates.
Fractional coordinates of all 28 atoms:
Ni  0.340  0.170  0.214  0.33
Ni  0.667  0.333  0.489  1.14
Ni  0.830  0.170  0.214  0.33
Ni  0.830  0.660  0.214  0.33
Ni  0.333  0.667  0.989  1.14
Ni  0.660  0.830  0.714  0.33
Ni  0.170  0.340  0.714  0.33
Ni  0.170  0.830  0.714  0.33
O  0.667  0.333  0.110  -0.02
O  0.164  0.836  0.100  -0.08
O  0.333  0.667  0.610  -0.02
O  0.961  0.481  0.339  0.06
O  0.519  0.481  0.339  0.06
O  0.000  0.000  0.805  -0.07
O  0.519  0.039  0.339  0.06
O  0.328  0.164  0.600  -0.08
O  0.481  0.519  0.839  0.06
O  0.836  0.672  0.600  -0.08
O  0.039  0.519  0.839  0.06
O  0.836  0.164  0.600  -0.08
O  0.481  0.961  0.839  0.06
O  0.000  0.000  0.305  -0.07
O  0.164  0.328  0.100  -0.08
O  0.672  0.836  0.100  -0.08
Li  0.667  0.333  0.895  0.00
Li  0.333  0.667  0.395  0.00
Li  0.000  0.000  0.496  0.00
Li  0.000  0.000  0.996  0.00

Run iii
VASP calculation (SCAN) on a PBEsol-optimized structure of LiNi2O4.

Cell lengths 5.621, 5.671, 5.642 Å; angles 119.83, 90.00, 119.70 degrees
Site moments in Bohr magnetons follow the coordinates.
Fractional coordinates of all 14 atoms:
Ni  0.000  0.500  0.000  0.00
Ni  0.500  0.500  0.000  0.00
Ni  0.000  0.000  0.000  0.95
Ni  0.000  0.000  0.500  0.95
O  0.791  0.040  0.770  -0.04
O  0.751  0.960  0.230  -0.04
O  0.209  0.960  0.230  -0.04
O  0.754  0.508  0.786  0.05
O  0.249  0.040  0.770  -0.04
O  0.246  0.492  0.214  0.05
O  0.754  0.508  0.221  0.05
O  0.246  0.492  0.779  0.05
Li  0.500  0.000  0.000  0.01
Li  0.500  0.000  0.500  0.01

Stability summary: most stable run i, least stable run iii.

Run i
VASP calculation (SCAN) on a PBEsol-optimized structure of Li3Ni4O8.

Cell lengths 5.519, 5.636, 5.547 Å; angles 118.53, 91.69, 118.37 degrees
Site moments in Bohr magnetons follow the coordinates.
Fractional coordinates of all 15 atoms:
Li  0.000  0.000  0.500  0.00
Li  0.000  0.500  0.500  0.00
Li  0.500  0.500  0.000  0.00
O  0.241  0.000  0.773  0.00
O  0.759  0.000  0.227  0.00
O  0.746  0.000  0.775  -0.07
O  0.226  0.451  0.226  0.01
O  0.729  0.458  0.229  -0.02
O  0.271  0.542  0.771  -0.02
O  0.254  0.000  0.225  -0.07
O  0.774  0.549  0.774  0.01
Ni  0.000  0.000  0.000  0.01
Ni  0.500  0.000  0.000  0.01
Ni  0.500  0.500  0.500  -1.40
Ni  0.000  0.500  0.000  -1.40

Run ii
VASP calculation (SCAN) on a PBEsol-optimized structure of Li3Ni4O8.

Cell lengths 4.995, 5.605, 5.735 Å; angles 119.25, 107.89, 90.00 degrees
Site moments in Bohr magnetons follow the coordinates.
Fractional coordinates of all 15 atoms:
Ni  0.500  0.748  0.000  1.29
Ni  0.491  0.748  0.496  0.14
Ni  0.509  0.252  0.504  0.14
Ni  0.500  0.252  0.000  1.16
O  0.280  0.898  0.278  0.05
O  0.300  0.373  0.750  -0.01
O  0.286  0.880  0.755  0.01
O  0.721  0.100  0.719  0.06
O  0.720  0.620  0.722  0.05
O  0.714  0.125  0.245  0.01
O  0.279  0.381  0.281  0.06
O  0.700  0.623  0.250  -0.01
Li  0.000  0.500  0.501  0.01
Li  0.000  0.001  0.000  0.00
Li  0.000  0.999  0.499  0.01

Stability summary: most stable run ii, least stable run i.

Run i
VASP calculation (SCAN) on a PBEsol-optimized structure of LiNi4P3O12.

Cell lengths 6.521, 6.521, 10.161 Å; angles 108.72, 108.72, 90.00 degrees
Site moments in Bohr magnetons follow the coordinates.
Fractional coordinates of all 40 atoms:
O  0.658  0.940  0.885  0.09
O  0.194  0.977  0.385  0.09
O  0.190  0.408  0.385  0.09
O  0.840  0.165  0.791  0.07
O  0.060  0.773  0.115  0.09
O  0.876  0.701  0.291  0.07
O  0.374  0.160  0.209  0.07
O  0.655  0.008  0.412  0.09
O  0.415  0.590  0.291  0.07
O  0.023  0.810  0.615  0.09
O  0.835  0.049  0.209  0.07
O  0.595  0.346  0.088  0.09
O  0.992  0.243  0.588  0.09
O  0.757  0.404  0.412  0.09
O  0.410  0.124  0.709  0.07
O  0.227  0.944  0.885  0.09
O  0.592  0.806  0.615  0.09
O  0.596  0.345  0.588  0.09
O  0.493  0.742  0.088  0.09
O  0.299  0.585  0.709  0.07
O  0.654  0.507  0.912  0.09
O  0.951  0.626  0.791  0.07
O  0.258  0.405  0.912  0.09
O  0.056  0.342  0.115  0.09
P  0.500  0.500  0.000  0.02
P  0.125  0.727  0.750  0.02
P  0.750  0.250  0.500  0.02
P  0.273  0.375  0.250  0.02
P  0.625  0.023  0.750  0.02
P  0.977  0.875  0.250  0.02
Ni  0.125  0.129  0.750  1.71
Ni  0.379  0.875  0.250  1.71
Ni  0.727  0.727  0.454  1.72
Ni  0.977  0.477  0.954  1.72
Ni  0.273  0.273  0.546  1.72
Ni  0.523  0.023  0.046  1.72
Ni  0.625  0.621  0.750  1.71
Ni  0.871  0.375  0.250  1.71
Li  0.250  0.750  0.500  0.00
Li  0.000  0.000  0.000  0.00

Run ii
VASP calculation (SCAN) on a PBEsol-optimized structure of LiNi4P3O12.

Cell lengths 6.274, 8.846, 14.239 Å; angles 90.21, 90.00, 90.00 degrees
Site moments in Bohr magnetons follow the coordinates.
Fractional coordinates of all 80 atoms:
Ni  0.250  0.007  0.333  1.72
Ni  0.256  0.999  0.669  1.71
Ni  0.253  0.502  0.832  1.72
Ni  0.249  0.505  0.167  1.72
Ni  0.500  0.149  0.150  1.67
Ni  0.750  0.007  0.333  1.72
Ni  0.250  0.995  0.000  1.72
Ni  0.746  0.494  0.498  1.72
Ni  0.000  0.356  0.989  1.67
Ni  0.744  0.999  0.669  1.71
Ni  0.500  0.647  0.349  1.68
Ni  0.000  0.346  0.647  1.66
Ni  0.750  0.995  0.000  1.72
Ni  0.747  0.502  0.832  1.72
Ni  0.254  0.494  0.498  1.72
Ni  0.751  0.505  0.167  1.72
P  0.500  0.312  0.666  0.01
P  0.000  0.177  0.821  0.01
P  0.000  0.184  0.165  0.01
P  0.500  0.326  0.321  0.01
P  0.000  0.682  0.337  0.01
P  0.500  0.321  0.994  0.01
P  0.500  0.823  0.175  0.01
P  0.500  0.825  0.508  0.01
P  0.500  0.820  0.842  0.01
P  0.000  0.677  0.009  0.01
P  0.000  0.681  0.671  0.01
P  0.000  0.177  0.489  0.01
O  0.000  0.357  0.493  0.15
O  0.000  0.856  0.025  0.09
O  0.799  0.618  0.384  0.07
O  0.000  0.147  0.932  0.14
O  0.500  0.143  0.993  0.12
O  0.205  0.114  0.781  0.04
O  0.500  0.375  0.768  0.09
O  0.705  0.880  0.553  0.04
O  0.201  0.618  0.384  0.07
O  0.000  0.637  0.565  0.08
O  0.797  0.619  0.717  0.05
O  0.795  0.114  0.781  0.04
O  0.294  0.380  0.276  0.05
O  0.500  0.872  0.071  0.10
O  0.500  0.864  0.399  0.13
O  0.204  0.619  0.054  0.05
O  0.500  0.645  0.201  0.13
O  0.699  0.377  0.616  0.07
O  0.500  0.145  0.299  0.14
O  0.706  0.380  0.276  0.05
O  0.294  0.877  0.887  0.04
O  0.206  0.123  0.445  0.05
O  0.800  0.119  0.116  0.07
O  0.200  0.119  0.116  0.07
O  0.297  0.379  0.947  0.07
O  0.000  0.857  0.691  0.07
O  0.796  0.619  0.054  0.05
O  0.500  0.643  0.850  0.09
O  0.706  0.877  0.887  0.04
O  0.500  0.139  0.649  0.08
O  0.794  0.123  0.445  0.05
O  0.706  0.881  0.221  0.04
O  0.000  0.640  0.231  0.08
O  0.500  0.865  0.735  0.09
O  0.000  0.132  0.268  0.08
O  0.500  0.645  0.516  0.11
O  0.295  0.880  0.553  0.04
O  0.203  0.619  0.717  0.05
O  0.000  0.631  0.901  0.08
O  0.500  0.368  0.102  0.13
O  0.000  0.358  0.136  0.13
O  0.000  0.130  0.599  0.15
O  0.000  0.356  0.799  0.12
O  0.000  0.856  0.359  0.08
O  0.500  0.379  0.426  0.10
O  0.294  0.881  0.221  0.04
O  0.301  0.377  0.616  0.07
O  0.703  0.379  0.947  0.07
Li  0.500  0.654  0.684  0.00
Li  0.000  0.848  0.506  0.00
Li  0.000  0.840  0.840  0.00
Li  0.000  0.846  0.171  0.00

Stability summary: most stable run i, least stable run ii.

Run i
VASP calculation (SCAN) on a PBEsol-optimized structure of LiNiPO4.

Cell lengths 4.760, 4.760, 8.224 Å; angles 73.18, 73.18, 60.00 degrees
Site moments in Bohr magnetons follow the coordinates.
Fractional coordinates of all 14 atoms:
Li  0.718  0.718  0.847  0.00
Li  0.282  0.282  0.153  0.00
O  0.127  0.751  0.657  0.07
O  0.361  0.361  0.918  0.02
O  0.465  0.127  0.657  0.07
O  0.751  0.465  0.657  0.07
O  0.249  0.535  0.343  0.07
O  0.639  0.639  0.082  0.02
O  0.535  0.873  0.343  0.07
O  0.873  0.249  0.343  0.07
P  0.575  0.575  0.275  0.01
P  0.425  0.425  0.725  0.01
Ni  0.838  0.838  0.487  1.68
Ni  0.162  0.162  0.513  1.68

Run ii
VASP calculation (SCAN) on a PBEsol-optimized structure of LiNiPO4.

Cell lengths 5.504, 5.563, 5.563 Å; angles 61.16, 60.35, 60.35 degrees
Site moments in Bohr magnetons follow the coordinates.
Fractional coordinates of all 14 atoms:
P  0.632  0.618  0.118  0.01
P  0.368  0.382  0.882  0.01
O  0.259  0.718  0.764  0.04
O  0.281  0.739  0.239  0.09
O  0.259  0.264  0.218  0.04
O  0.741  0.282  0.236  0.04
O  0.741  0.739  0.239  0.09
O  0.719  0.261  0.761  0.09
O  0.259  0.261  0.761  0.09
O  0.741  0.736  0.782  0.04
Ni  0.000  0.500  0.500  1.69
Ni  0.000  0.000  0.000  1.69
Li  0.500  0.000  0.500  0.00
Li  0.000  0.000  0.500  0.00

Run iii
VASP calculation (SCAN) on a PBEsol-optimized structure of LiNiPO4.

Cell lengths 4.758, 7.093, 9.563 Å; angles 90.00, 90.00, 90.00 degrees
Site moments in Bohr magnetons follow the coordinates.
Fractional coordinates of all 28 atoms:
O  0.234  0.036  0.063  0.04
O  0.128  0.538  0.621  0.04
O  0.734  0.536  0.437  0.04
O  0.188  0.854  0.838  0.07
O  0.688  0.354  0.662  0.07
O  0.812  0.354  0.162  0.07
O  0.318  0.220  0.341  0.06
O  0.766  0.536  0.937  0.04
O  0.818  0.720  0.159  0.06
O  0.872  0.038  0.379  0.04
O  0.682  0.720  0.659  0.06
O  0.182  0.220  0.841  0.06
O  0.628  0.038  0.879  0.04
O  0.312  0.854  0.338  0.07
O  0.266  0.036  0.563  0.04
O  0.372  0.538  0.121  0.04
Ni  0.715  0.287  0.355  1.70
Ni  0.285  0.787  0.645  1.70
Ni  0.215  0.787  0.145  1.70
Ni  0.785  0.287  0.855  1.70
P  0.306  0.037  0.905  0.01
P  0.806  0.537  0.595  0.01
P  0.194  0.037  0.405  0.01
P  0.694  0.537  0.095  0.01
Li  0.796  0.787  0.847  0.00
Li  0.204  0.287  0.153  0.00
Li  0.296  0.287  0.653  0.00
Li  0.704  0.787  0.347  0.00

Stability summary: most stable run ii, least stable run iii.

Run i
VASP calculation (SCAN) on a PBEsol-optimized structure of Li3NiP2O8.

Cell lengths 4.715, 6.287, 17.659 Å; angles 90.00, 90.00, 93.51 degrees
Site moments in Bohr magnetons follow the coordinates.
Fractional coordinates of all 56 atoms:
Li  0.313  0.648  0.194  0.00
Li  0.187  0.852  0.694  0.00
Li  0.279  0.986  0.385  0.00
Li  0.276  0.276  0.060  0.00
Li  0.813  0.148  0.306  0.00
Li  0.779  0.486  0.115  0.00
Li  0.724  0.724  0.940  0.00
Li  0.721  0.014  0.615  0.00
Li  0.221  0.514  0.885  0.00
Li  0.687  0.352  0.806  0.00
Li  0.776  0.776  0.440  0.00
Li  0.224  0.224  0.560  0.00
O  0.388  0.195  0.301  0.06
O  0.107  0.275  0.438  -0.03
O  0.138  0.967  0.070  -0.02
O  0.477  0.965  0.190  -0.02
O  0.061  0.136  0.669  -0.01
O  0.561  0.636  0.831  -0.01
O  0.290  0.777  0.950  0.04
O  0.612  0.805  0.699  0.06
O  0.977  0.465  0.310  -0.02
O  0.638  0.467  0.430  -0.02
O  0.999  0.137  0.202  -0.03
O  0.439  0.364  0.169  -0.01
O  0.523  0.035  0.810  -0.02
O  0.939  0.864  0.331  -0.01
O  0.607  0.775  0.062  -0.03
O  0.001  0.863  0.798  -0.03
O  0.643  0.064  0.432  0.00
O  0.023  0.535  0.690  -0.02
O  0.790  0.277  0.550  0.04
O  0.888  0.695  0.199  0.06
O  0.893  0.725  0.562  -0.03
O  0.357  0.936  0.568  0.00
O  0.857  0.436  0.932  0.00
O  0.499  0.637  0.298  -0.03
O  0.710  0.223  0.050  0.04
O  0.862  0.033  0.930  -0.02
O  0.210  0.723  0.450  0.04
O  0.393  0.225  0.938  -0.03
O  0.362  0.533  0.570  -0.02
O  0.112  0.305  0.801  0.06
O  0.501  0.363  0.702  -0.03
O  0.143  0.564  0.068  0.00
P  0.218  0.729  0.537  0.01
P  0.782  0.271  0.463  0.01
P  0.171  0.329  0.714  0.01
P  0.671  0.829  0.786  0.01
P  0.282  0.771  0.037  0.01
P  0.718  0.229  0.963  0.01
P  0.829  0.671  0.286  0.01
P  0.329  0.171  0.214  0.01
Ni  0.305  0.462  0.371  0.96
Ni  0.195  0.038  0.871  0.96
Ni  0.805  0.962  0.129  0.96
Ni  0.695  0.538  0.629  0.96

Run ii
VASP calculation (SCAN) on a PBEsol-optimized structure of Li3NiP2O8.

Cell lengths 4.773, 4.773, 6.159 Å; angles 89.72, 89.72, 67.44 degrees
Site moments in Bohr magnetons follow the coordinates.
Fractional coordinates of all 14 atoms:
P  0.151  0.151  0.770  0.01
P  0.849  0.849  0.230  0.01
O  0.736  0.206  0.227  0.00
O  0.794  0.264  0.773  0.00
O  0.738  0.738  0.024  -0.04
O  0.745  0.745  0.435  -0.02
O  0.264  0.794  0.773  0.00
O  0.206  0.736  0.227  0.00
O  0.255  0.255  0.565  -0.02
O  0.262  0.262  0.976  -0.04
Li  0.821  0.821  0.726  0.00
Li  0.500  0.500  0.500  0.00
Li  0.179  0.179  0.274  0.00
Ni  0.500  0.500  0.000  1.09

Stability summary: most stable run i, least stable run ii.